VASP calculation (GGA-PBE) on a relaxed Ce8Si2Os crystal.

Properties
The symmetry is C2/m. The size of the total moment comes out at 1.51 μB per cell. The calculation puts the formation energy without anion corrections at -0.271 eV/atom. For the density of states at the Fermi level, the calculation gives 26.7 states/eV per cell.

Cell: 4.7379 7.3893 8.5211 Å, 111.03 106.14 90.00°
Each line ends with the local moment (μB).
Fractional positions:
Ce 0.4344 0.5700 0.8689  0.12
Ce 0.6742 0.9244 0.3483  0.09
Ce 0.7890 0.7120 0.5780  0.34
Ce 0.9872 0.2127 0.9744  0.11
Ce 0.2110 0.2880 0.4220  0.34
Ce 0.3258 0.0756 0.6517  0.09
Ce 0.5656 0.4300 0.1311  0.12
Ce 0.0128 0.7873 0.0257  0.11
Si 0.8316 0.3482 0.6631  -0.01
Si 0.1684 0.6518 0.3369  -0.01
Os 0.5000 0.0000 0.0000  -0.02